Here is a relaxed structure of RbGe2Ir from Alexandria via LeMat-Bulk. Energies are from PBE.

Cell: 4.183 4.183 7.129 Å, 72.94 72.94 60.00°
Fractional coordinates of all 4 atoms:
Ge  0.294  0.294  0.119
Ge  0.706  0.706  0.881
Ir  0.000  0.000  0.000
Rb  0.500  0.500  0.500

Summary:
Polymorph energy (0 for the lowest one)   0.000 eV per atom
Energy of formation   -14.6 kJ per mole of atoms

***

Here is a relaxed structure of LiFe2B2 from Alexandria via LeMat-Bulk. Energies are from PBE.

Cell: 5.471 5.471 2.700 Å, 90.00 90.00 90.00°
Site moments in Bohr magnetons follow the coordinates.
Fractional coordinates of all 10 atoms:
B  0.381  0.881  0.000  -0.04
B  0.881  0.619  0.000  -0.04
B  0.619  0.119  0.000  -0.04
B  0.119  0.381  0.000  -0.04
Fe  0.169  0.669  0.500  0.57
Fe  0.669  0.831  0.500  0.58
Fe  0.831  0.331  0.500  0.57
Fe  0.331  0.169  0.500  0.58
Li  0.000  0.000  0.000  -0.02
Li  0.500  0.500  0.000  -0.02

Summary:
Energy of formation   -23.1 kJ per mole of atoms

***

Here is a relaxed structure of TbPm2Tl2 from Alexandria via LeMat-Bulk. Energies are from PBE.

Cell: 3.557 9.259 9.259 Å, 90.00 90.00 90.00°
Site moments in Bohr magnetons follow the coordinates.
Fractional coordinates of all 10 atoms:
Tb  0.000  0.000  0.000  0.25
Tb  0.000  0.500  0.500  0.25
Pm  0.000  0.878  0.378  -0.03
Pm  0.000  0.378  0.122  -0.03
Pm  0.000  0.122  0.622  -0.03
Pm  0.000  0.622  0.878  -0.03
Tl  0.500  0.323  0.823  0.00
Tl  0.500  0.823  0.677  0.00
Tl  0.500  0.677  0.177  0.00
Tl  0.500  0.177  0.323  0.00

Summary:
Polymorph energy (0 for the lowest one)   0.169 eV per atom
Energy of formation   -11.6 kJ per mole of atoms

***

Here is a relaxed structure of TiNi from Alexandria via LeMat-Bulk. Energies are from PBE.

Cell: 4.909 4.909 4.862 Å, 90.00 90.00 90.00°
Fractional coordinates of all 8 atoms:
Ti  0.200  0.800  0.000
Ti  0.700  0.700  0.500
Ti  0.300  0.300  0.500
Ti  0.800  0.200  0.000
Ni  0.316  0.316  0.000
Ni  0.816  0.184  0.500
Ni  0.184  0.816  0.500
Ni  0.684  0.684  0.000

Summary:
Energy of formation   -6.1 kJ per mole of atoms

***

Among the records above, which one has the lowest energy of formation? LiFe2B2

***

Which value of energy of formation does entry 3 give? -11.6 kJ per mole of atoms

***

Which of these has the lowest energy of formation? LiFe2B2